Record 1
This record from the Alexandria database describes a relaxed YHo2NbN4 crystal. The functional is PBE.

## Properties
* spin magnetization: 0.0 μB/cell
* formation energy without anion corrections: -1526 meV per atom

abc: 5.816 3.348 5.818
angles: 90.00 109.14 90.00
Sites, in units of the cell vectors:
Y: 0.000 0.000 0.000
Ho: 0.500 0.000 0.500
Ho: 0.500 0.500 0.000
Nb: 0.000 0.500 0.500
N: 0.236 0.000 0.735
N: 0.241 0.500 0.263
N: 0.759 0.500 0.737
N: 0.764 0.000 0.265

***

Record 2
This record from the Alexandria database describes a relaxed HfMg3Ge crystal. The functional is PBE.

## Properties
* spin magnetization: 0.0 μB/cell
* energy relative to the lowest polymorph listed for this composition: 0 meV per atom
* calculated formation energy: 0.566 eV per atom

abc: 4.969 4.969 4.969
angles: 90.00 90.00 90.00
Sites, in units of the cell vectors:
Hf: 0.000 0.000 0.000
Mg: 0.000 0.500 0.500
Mg: 0.500 0.000 0.500
Mg: 0.500 0.500 0.000
Ge: 0.500 0.500 0.500

***

Record 3
This record from the Alexandria database describes a relaxed BeCI2O crystal. The functional is PBE.

## Properties
* spin magnetization: 1.1 μB/cell
* formation energy without anion corrections: 684 meV per atom
* energy relative to the lowest polymorph listed for this composition: 0 meV per atom

abc: 6.055 6.055 2.940
angles: 90.00 90.00 90.00
Sites, in units of the cell vectors:
Be: 0.000 0.000 0.000
C: 0.500 0.500 0.500
I: 0.000 0.500 0.000
I: 0.500 0.000 0.000
O: 0.000 0.000 0.500

***

Record 4
This record from the Alexandria database describes a relaxed Ho2Ga2Rh5Pb crystal. The functional is PBE.

## Properties
* spin magnetization: 0.0 μB/cell
* calculated formation energy: -0.751 eV per atom

abc: 9.820 9.820 3.647
angles: 90.00 90.00 90.00
Sites, in units of the cell vectors:
Ho: 0.175 0.325 0.000
Ho: 0.325 0.825 0.000
Ho: 0.675 0.175 0.000
Ho: 0.825 0.675 0.000
Ga: 0.122 0.622 0.000
Ga: 0.378 0.122 0.000
Ga: 0.622 0.878 0.000
Ga: 0.878 0.378 0.000
Rh: 0.000 0.500 0.500
Rh: 0.071 0.789 0.500
Rh: 0.211 0.071 0.500
Rh: 0.289 0.571 0.500
Rh: 0.429 0.289 0.500
Rh: 0.500 0.000 0.500
Rh: 0.571 0.711 0.500
Rh: 0.711 0.429 0.500
Rh: 0.789 0.929 0.500
Rh: 0.929 0.211 0.500
Pb: 0.000 0.000 0.000
Pb: 0.500 0.500 0.000

***

Record 5
This record from the Alexandria database describes a relaxed TlAg5Pd8 crystal. The functional is PBE.

## Properties
* spin magnetization: 0.0 μB/cell
* calculated formation energy: 0.084 eV per atom

abc: 6.965 6.965 6.965
angles: 114.53 114.53 99.78
Sites, in units of the cell vectors:
Tl: 0.000 0.000 0.000
Ag: 0.031 0.454 0.861
Ag: 0.250 0.750 0.500
Ag: 0.546 0.407 0.577
Ag: 0.593 0.170 0.139
Ag: 0.830 0.969 0.423
Pd: 0.074 0.330 0.424
Pd: 0.311 0.217 0.754
Pd: 0.350 0.926 0.256
Pd: 0.443 0.689 0.906
Pd: 0.463 0.557 0.246
Pd: 0.670 0.094 0.744
Pd: 0.783 0.537 0.094
Pd: 0.906 0.650 0.576

***

Record 6
This record from the Alexandria database describes a relaxed NaICl2 crystal. The functional is PBE.

## Properties
* spin magnetization: 8.0 μB/cell
* formation energy without anion corrections: -569 meV per atom
* energy relative to the lowest polymorph listed for this composition: 391 meV per atom

abc: 7.820 7.820 8.216
angles: 90.00 90.00 90.00
Sites, in units of the cell vectors:
Na: 0.000 0.000 0.000
Na: 0.000 0.500 0.250
Na: 0.500 0.000 0.750
Na: 0.500 0.500 0.500
I: 0.000 0.000 0.500
I: 0.000 0.500 0.750
I: 0.500 0.000 0.250
I: 0.500 0.500 0.000
Cl: 0.210 0.250 0.125
Cl: 0.250 0.710 0.375
Cl: 0.250 0.790 0.875
Cl: 0.290 0.250 0.625
Cl: 0.710 0.750 0.625
Cl: 0.750 0.210 0.875
Cl: 0.750 0.290 0.375
Cl: 0.790 0.750 0.125